Computed, not measured: a relaxed LaNdB4 crystal at the PBE-GGA level of DFT.

```
6
Lattice="-2.325 -2.360 -0.290 1.443 0.559 2.943 -5.966 5.651 1.853" Properties=species:S:1:pos:R:3 pbc="T T T"
B -5.579 2.885 2.188
La -2.983 2.825 0.926
B -2.525 -0.008 1.240
B -4.323 3.858 3.266
Nd 0.000 0.000 0.000
B -1.269 0.965 2.318
```

Values from the calculation:
The total magnetic moment comes out at 0.030 μB per cell. As for the density: 6.7 g/cm³. For the final energy, the calculation gives -6.327 eV per atom. The energy relative to the lowest polymorph listed for this composition comes out at 0.0 meV per atom.